ReClF3 | the Alexandria database | GGA-PBE | optimized geometry; excess energy over the best structure of this formula in the dataset = 2262.5 meV/atom; formation energy without anion corrections = 3.63 eV/f.u.; SG = Pm-3m (221)
1.0
4.4360 0.0000 0.0000
0.0000 4.4360 0.0000
0.0000 0.0000 4.4360
Re Cl F
1 1 3
Cartesian
0.0000 0.0000 0.0000
2.2180 2.2180 2.2180
0.0000 2.2180 2.2180
2.2180 0.0000 2.2180
2.2180 2.2180 0.0000


Ba3Sr2Zn2 | the Alexandria database | GGA-PBE | optimized geometry; DFT formation energy = -7.49 kJ/mol of atoms; SG = C2/m (12)
1.0
7.4499 -2.2118 0.0000
7.4499 2.2118 0.0000
-4.8221 0.0000 9.6523
Ba Sr Zn
3 2 2
Cartesian
0.0000 0.0000 0.0000
-0.3602 0.0000 4.1932
10.4378 0.0000 5.4590
4.0072 0.0000 1.7684
6.0704 0.0000 7.8839
1.1075 0.0000 7.4196
8.9701 0.0000 2.2327


SbAs2Au | the Alexandria database | GGA-PBE | optimized geometry; formation energy without anion corrections = 0.28 eV/f.u.; SG = Pmmm (47)
1.0
3.9416 0.0000 0.0000
0.0000 3.9936 0.0000
0.0000 0.0000 5.6543
Sb As Au
1 2 1
Cartesian
0.0000 0.0000 0.0000
0.0000 0.0000 2.8272
1.9708 1.9968 2.8272
1.9708 1.9968 0.0000


BC3 | the Alexandria database | GGA-PBE | optimized geometry; excess energy over the best structure of this formula in the dataset = 156.7 meV/atom; DFT formation energy = 38.34 kJ/mol of atoms; SG = C2 (5)
1.0
1.2845 -2.2163 0.0000
1.2845 2.2163 0.0000
-0.7902 0.0000 8.2951
B C
1 3
Cartesian
0.0000 0.0000 0.0000
0.8894 0.9078 4.1475
1.2845 0.7300 0.0000
0.8894 -2.0464 4.1475


SbAuCl | the Alexandria database | GGA-PBE | optimized geometry; excess energy over the best structure of this formula in the dataset = 155.2 meV/atom; formation energy without anion corrections = -0.31 eV/f.u.; SG = Fmm2 (42)
1.0
0.0000 3.1934 6.8386
1.8136 0.0000 6.8386
1.8136 3.1934 0.0000
Sb Au Cl
1 1 1
Cartesian
0.0000 0.0000 0.0000
1.8136 3.1934 8.8061
1.8136 3.1934 3.7571


Tb2Ho3Sc7 | the Alexandria database | GGA-PBE | optimized geometry; DFT formation energy = 9.86 kJ/mol of atoms; SG = P2/m (10)
1.0
5.4465 0.0000 0.0000
0.0000 3.4185 0.0000
-0.9128 0.0000 17.6735
Tb Ho Sc
2 3 7
Cartesian
0.8755 0.0000 5.1293
3.6582 0.0000 12.5441
0.0000 0.0000 0.0000
0.9281 1.7092 11.1345
3.6055 1.7092 6.5389
0.9365 1.7092 2.4889
0.9017 0.0000 8.1725
0.8981 0.0000 14.6349
2.7232 1.7092 0.0000
3.6356 0.0000 3.0386
3.6320 0.0000 9.5010
3.5971 1.7092 15.1846


Pu2FeOs3 | the Alexandria database | GGA-PBE | optimized geometry; DFT formation energy = -4.41 kJ/mol of atoms; SG = R-3m (166)
1.0
2.7198 1.5703 4.0496
-2.7198 1.5703 4.0496
0.0000 -3.1405 4.0496
Pu Fe Os
2 1 3
Cartesian
0.0000 0.0000 1.4854
0.0000 0.0000 10.6633
0.0000 0.0000 6.0743
-1.3599 -0.7851 4.0496
-1.3599 0.7851 8.0991
0.0000 1.5703 4.0495


Al2CuPtF | the Alexandria database | GGA-PBE | optimized geometry; formation energy without anion corrections = -0.09 eV/f.u.; SG = P4/mmm (123)
1.0
3.9669 0.0000 0.0000
0.0000 3.9669 0.0000
0.0000 0.0000 4.8336
Al Cu Pt F
2 1 1 1
Cartesian
0.0000 1.9835 0.0000
1.9835 0.0000 0.0000
0.0000 0.0000 2.4168
1.9835 1.9835 2.4168
1.9835 1.9835 0.0000


CaTaGaSe2 | the Alexandria database | GGA-PBE | optimized geometry; formation energy without anion corrections = 5.21 eV/f.u.; SG = P4/mmm (123)
1.0
5.3582 0.0000 0.0000
0.0000 5.3582 0.0000
0.0000 0.0000 5.7088
Ca Ta Ga Se
1 1 1 2
Cartesian
0.0000 0.0000 0.0000
0.0000 0.0000 2.8544
2.6791 2.6791 2.8544
0.0000 2.6791 0.0000
2.6791 0.0000 0.0000


SmInSn2I8 | the Alexandria database | GGA-PBE | optimized geometry; formation energy without anion corrections = -9.12 eV/f.u.; SG = P2/m (10)
1.0
7.3456 0.0000 0.0000
0.0000 9.5596 0.0000
-0.1311 0.0000 7.8002
Sm In Sn I
1 1 2 8
Cartesian
0.0000 0.0000 0.0000
0.0000 4.7798 0.0000
3.6073 2.4231 3.9001
3.6073 7.1365 3.9001
1.6903 0.0000 5.2445
1.7999 2.1954 1.2352
1.7999 7.3642 1.2352
1.9024 4.7798 5.0158
5.3122 4.7798 2.7844
5.4147 2.1954 6.5650
5.4147 7.3642 6.5650
5.5243 0.0000 2.5557


Nd6Er8Th | the Alexandria database | GGA-PBE | optimized geometry; DFT formation energy = 11.85 kJ/mol of atoms; SG = R-3 (148)
1.0
4.5351 2.6183 6.9618
-4.5351 2.6183 6.9618
0.0000 -5.2366 6.9618
Nd Er Th
6 8 1
Cartesian
-3.1439 -1.1285 9.5100
-0.5946 -3.2870 11.3753
-2.5493 2.1585 11.3753
2.5493 -2.1585 9.5100
0.5946 3.2870 9.5100
3.1439 1.1285 11.3753
0.0000 0.0000 1.6109
-0.2074 -1.9810 7.5500
-1.6119 1.1701 7.5500
-1.8193 -0.8109 13.3354
1.8193 0.8109 7.5500
1.6119 -1.1701 13.3354
0.2074 1.9810 13.3354
0.0000 0.0000 19.2745
0.0000 0.0000 10.4427


PrDy2Pu | the Alexandria database | GGA-PBE | optimized geometry; excess energy over the best structure of this formula in the dataset = 44.6 meV/atom; DFT formation energy = 14.38 kJ/mol of atoms; SG = P4/mmm (123)
1.0
5.0148 0.0000 0.0000
0.0000 5.0148 0.0000
0.0000 0.0000 5.0203
Pr Dy Pu
1 2 1
Cartesian
0.0000 0.0000 0.0000
0.0000 2.5074 2.5102
2.5074 0.0000 2.5102
2.5074 2.5074 0.0000


no.,DOS at the Fermi energy (states/eV per cell)
1,2.94
2,10.32
3,2.12
4,0.70
5,1.02
6,17.39
7,16.32
8,2.00
9,6.64
10,0.00
11,22.99
12,16.01